# 1
## MgSi2 (PBE)

Data for a relaxed MgSi2 crystal.

Properties
Total magnetization ... 0.00 μB per atom
E_form (uncorrected) ... 0.5 eV per formula unit
Symmetry ... No. 8

Cell lengths 5.2651, 5.2651, 12.2539 Å; angles 108.34, 108.34, 39.64 degrees
Last column: nearest neighbours and their distance in Å.
Element x y z (fractional)
Mg (0.0000, 0.0000, 0.0000)  5 Si 2.73-2.97
Mg (0.0277, 0.0277, 0.5838)  9 Si 2.74-3.04
Mg (0.5027, 0.5027, 0.7854)  8 Si 2.75-3.08
Mg (0.6835, 0.6835, 0.2184)  10 Si 2.79-3.01
Si (0.2419, 0.2419, 0.8540)  4 Si 2.54-2.60
Si (0.2948, 0.2948, 0.5642)  5 Si 2.53-2.59, 2 Mg 2.74-2.80
Si (0.3718, 0.3718, 0.1326)  4 Si 2.56-2.60
Si (0.3754, 0.3754, 0.3890)  4 Si 2.48-2.60
Si (0.6390, 0.6390, 0.4317)  5 Si 2.48-2.59
Si (0.7220, 0.7220, 0.9947)  4 Si 2.54-2.56, 2 Mg 2.73-2.75
Si (0.7682, 0.7682, 0.7083)  4 Si 2.59-2.60, 2 Mg 2.83
Si (0.9875, 0.9875, 0.2906)  6 Si 2.59-2.60, 1 Mg 2.84



# 2
## Mg5Si9 (PBE)

Data for a relaxed Mg5Si9 crystal.

Properties
Total magnetization ... 0.00 μB per atom
E_form (uncorrected) ... 1.8 eV per formula unit
Symmetry ... No. 1

Cell lengths 6.8749, 6.9099, 13.2803 Å; angles 84.97, 78.66, 63.01 degrees
Last column: nearest neighbours and their distance in Å.
Element x y z (fractional)
Mg (0.0000, 0.0000, 0.0000)  5 Si 2.70-3.02, 1 Mg 2.92
Mg (0.0022, 0.4198, 0.9558)  4 Si 2.66-2.80, 1 Mg 2.92
Mg (0.1092, 0.7387, 0.8035)  4 Si 2.65-2.95, 1 Mg 2.93
Mg (0.2705, 0.8732, 0.3391)  6 Si 2.63-2.92
Mg (0.3388, 0.2137, 0.4719)  5 Si 2.80-3.00
Mg (0.5061, 0.7440, 0.8495)  4 Si 2.57-2.82
Mg (0.5139, 0.2281, 0.8687)  4 Si 2.61-2.89
Mg (0.7528, 0.4110, 0.2593)  7 Si 2.77-2.99
Mg (0.7990, 0.3049, 0.5039)  5 Si 2.78-3.06
Mg (0.9292, 0.4762, 0.6833)  5 Si 2.65-2.86
Si (0.0348, 0.5938, 0.1603)  3 Si 2.35-2.44
Si (0.0891, 0.0520, 0.6351)  3 Si 2.36-2.45
Si (0.0916, 0.6630, 0.5060)  3 Si 2.42-2.50
Si (0.1855, 0.1316, 0.7897)  2 Si 2.45-2.46, 1 Mg 2.71
Si (0.2189, 0.2875, 0.2694)  3 Si 2.42-2.45
Si (0.2251, 0.0428, 0.1448)  3 Si 2.43-2.54
Si (0.2874, 0.5639, 0.0020)  2 Si 2.37-2.41
Si (0.3773, 0.7312, 0.5560)  4 Si 2.36-2.43
Si (0.4756, 0.1713, 0.6615)  3 Si 2.39-2.46
Si (0.5192, 0.4903, 0.6933)  2 Si 2.40-2.44
Si (0.5963, 0.1447, 0.1762)  3 Si 2.36-2.42
Si (0.6294, 0.4153, 0.0623)  3 Si 2.36-2.60
Si (0.6316, 0.7670, 0.1164)  4 Si 2.38-2.64
Si (0.6458, 0.7137, 0.4096)  2 Si 2.37-2.41, 1 Mg 2.63
Si (0.7421, 0.8441, 0.9426)  1 Si 2.38, 3 Mg 2.57-2.65
Si (0.8290, 0.9395, 0.4109)  3 Si 2.38-2.42
Si (0.8447, 0.8894, 0.6588)  3 Si 2.37-2.50, 1 Mg 2.65
Si (0.9461, 0.9307, 0.2295)  4 Si 2.35-2.43



Question: total magnetization of number 1 (MgSi2)?
Answer: 0.00 μB per atom



Question: Number 1 is which compound?
Answer: MgSi2



What did the first record say?
## MgSi2 (PBE)

Data for a relaxed MgSi2 crystal.

Properties
Total magnetization ... 0.00 μB per atom
E_form (uncorrected) ... 0.5 eV per formula unit
Symmetry ... No. 8

Cell lengths 5.2651, 5.2651, 12.2539 Å; angles 108.34, 108.34, 39.64 degrees
Last column: nearest neighbours and their distance in Å.
Element x y z (fractional)
Mg (0.0000, 0.0000, 0.0000)  5 Si 2.73-2.97
Mg (0.0277, 0.0277, 0.5838)  9 Si 2.74-3.04
Mg (0.5027, 0.5027, 0.7854)  8 Si 2.75-3.08
Mg (0.6835, 0.6835, 0.2184)  10 Si 2.79-3.01
Si (0.2419, 0.2419, 0.8540)  4 Si 2.54-2.60
Si (0.2948, 0.2948, 0.5642)  5 Si 2.53-2.59, 2 Mg 2.74-2.80
Si (0.3718, 0.3718, 0.1326)  4 Si 2.56-2.60
Si (0.3754, 0.3754, 0.3890)  4 Si 2.48-2.60
Si (0.6390, 0.6390, 0.4317)  5 Si 2.48-2.59
Si (0.7220, 0.7220, 0.9947)  4 Si 2.54-2.56, 2 Mg 2.73-2.75
Si (0.7682, 0.7682, 0.7083)  4 Si 2.59-2.60, 2 Mg 2.83
Si (0.9875, 0.9875, 0.2906)  6 Si 2.59-2.60, 1 Mg 2.84